DFT (PBEsol) results for an optimized crystal structure of Ta2BeRu.

abc: 9.8781 3.0176 4.3754
angles: 90.00 115.89 90.00
Closest atoms and distances in Å follow each position.
Space group Cm (No. 8)
One atom of each set of equivalent atoms:
Ta 0.0000 0.0000 0.0000 (multiplicity 2)  2 Ru 2.64, 4 Be 2.67-2.68, 2 Ta 2.78
Ta 0.2375 0.0000 0.7386 (multiplicity 2)  4 Ru 2.65-2.66, 2 Ta 2.78, 3 Be 2.86-2.97
Be 0.4641 0.0000 0.4637 (multiplicity 2)  2 Ru 2.47, 4 Ta 2.67-2.68
Ru 0.2444 0.5000 0.2467 (multiplicity 2)  2 Be 2.47, 6 Ta 2.64-2.66

- formation energy from the elements (meV/atom) = -65
- ρ (Mg/m³) = 13.4
- V (Å³/cell) = 117.3
- N(E_F) (states/eV/cell) = 4.15

***

DFT (PBEsol) results for an optimized crystal structure of BeNi2.

abc: 3.7518 3.7518 4.5999
angles: 90.00 90.00 120.00
Closest atoms and distances in Å follow each position.
Space group P6_3/mmc (No. 194)
One atom of each set of equivalent atoms:
Be 0.3333 0.6667 0.2500 (multiplicity 2)  5 Ni 2.17-2.30
Ni 0.0000 0.0000 0.0000 (multiplicity 2)  8 Ni 2.30-2.45, 6 Be 2.45
Ni 0.3333 0.6667 0.7500 (multiplicity 2)  5 Be 2.17-2.30

- formation energy from the elements (meV/atom) = -246
- ρ (Mg/m³) = 7.5
- V (Å³/cell) = 56.1
- N(E_F) (states/eV/cell) = 4.62

***

DFT (PBEsol) results for an optimized crystal structure of Y2ScBi2.

abc: 8.0309 8.0309 4.2372
angles: 90.00 90.00 90.00
Closest atoms and distances in Å follow each position.
Space group P4/mbm (No. 127)
One atom of each set of equivalent atoms:
Y 0.1559 0.3441 0.0000 (multiplicity 4)  6 Bi 3.06-3.24
Sc 0.0000 0.0000 0.5000 (multiplicity 2)  4 Bi 3.06
Bi 0.1497 0.6497 0.5000 (multiplicity 4)  2 Sc 3.06, 6 Y 3.06-3.24, 1 Bi 3.40

- formation energy from the elements (meV/atom) = -740
- ρ (Mg/m³) = 7.8
- V (Å³/cell) = 273.3
- N(E_F) (states/eV/cell) = 9.73

***

DFT (PBEsol) results for an optimized crystal structure of YAg2Sb.

abc: 4.3266 4.3266 9.0900
angles: 90.00 90.00 90.00
Closest atoms and distances in Å follow each position.
Space group I4/mmm (No. 139)
One atom of each set of equivalent atoms:
Y 0.0000 0.0000 0.0000 (multiplicity 2)  4 Sb 3.06, 8 Ag 3.14
Ag 0.0000 0.5000 0.2500 (multiplicity 4)  4 Ag 3.06, 4 Sb 3.14, 4 Y 3.14
Sb 0.0000 0.0000 0.5000 (multiplicity 2)  4 Y 3.06, 8 Ag 3.14

- formation energy (no corrections) (meV per atom) = -409
- ρ (Mg/m³) = 8.3
- V (Å³/cell) = 170.2
- N(E_F) (states/eV/cell) = 3.37